A plane-wave DFT calculation with PBE-GGA was carried out for crystalline ZnAu2Se at its relaxed geometry.

Summary:
- Formation energy (no corrections): -0.04 eV/atom

a = 2.895 Å, b = 3.775 Å, c = 6.908 Å
α = 90.00°, β = 90.00°, γ = 90.00°
Fractional coordinates of all 4 atoms:
Zn 0.000 0.000 0.000
Au 0.500 0.500 0.207
Au 0.500 0.500 0.793
Se 0.500 0.000 0.500